# 1
The following is a DFT calculation (GGA-PBE) of a geometry-optimized Li6ZnIn5 structure.

Summary:
**Density**: 5.0 g cm⁻³
**Raw total energy**: -2.4638 eV/atom
**Space group**: C2/m
**Formation energy from the elements**: -0.26 eV/atom

a b c (Å): 4.6560 8.1564 8.1564
angles (deg): 118.97 106.48 106.48
Fractional coordinates of all 12 atoms:
Zn (0.0000, 0.0000, 0.0000)
In (0.5000, 0.1683, 0.8317)
In (0.0000, 0.3331, 0.6669)
In (0.5000, 0.5000, 0.5000)
In (0.0000, 0.6669, 0.3331)
In (0.5000, 0.8317, 0.1683)
Li (0.2424, 0.0806, 0.4042)
Li (0.7577, 0.5958, 0.9194)
Li (0.7365, 0.2361, 0.2361)
Li (0.2635, 0.7639, 0.7639)
Li (0.2424, 0.4042, 0.0806)
Li (0.7577, 0.9194, 0.5958)


# 2
The following is a DFT calculation (GGA-PBE) of a geometry-optimized Ba8ZnN2 structure.

Summary:
**Density**: 3.3 g cm⁻³
**Raw total energy**: -3.2317 eV/atom
**Formation energy without anion corrections**: -0.204 eV/atom
**Space group**: C2/m

a b c (Å): 7.5905 9.5296 9.5296
angles (deg): 61.18 86.83 86.83
Fractional coordinates of all 11 atoms:
Ba (0.2573, 0.3182, 0.8870)
Ba (0.7427, 0.1130, 0.6818)
Ba (0.3052, 0.8343, 0.8343)
Ba (0.6948, 0.1657, 0.1657)
Ba (0.2573, 0.8870, 0.3182)
Ba (0.7427, 0.6818, 0.1130)
Ba (0.7577, 0.6820, 0.6820)
Ba (0.2423, 0.3180, 0.3180)
Zn (0.0000, 0.0000, 0.0000)
N (0.6424, 0.8272, 0.8272)
N (0.3576, 0.1728, 0.1728)


What is the formula in the first record?
Li6ZnIn5


Among the records above, which one has the lowest raw total energy?
Ba8ZnN2


What is the raw total energy in the first record?
-2.4638 eV/atom


The lowest density belongs to which entry?
Ba8ZnN2